[1]
# BeFeHRh2 (PBE, relaxed)
data_BeFeHRh2
_space_group_name_H-M_alt 'P 4/m m m'
_space_group_IT_number 123
_space_group_name_Hall '-P 4 2'
_cell_length_a 4.037
_cell_length_b 4.037
_cell_length_c 3.202
_cell_angle_alpha 90.00
_cell_angle_beta 90.00
_cell_angle_gamma 90.00
loop_
_atom_site_label
_atom_site_type_symbol
_atom_site_fract_x
_atom_site_fract_y
_atom_site_fract_z
Be1 Be 0.000 0.000 0.000
Fe1 Fe 0.500 0.500 0.000
H1 H 0.000 0.000 0.500
Rh1 Rh 0.000 0.500 0.500
# - D(E_F) (states/eV/f.u.) = 2.44
# - relative energy among the computed polymorphs (eV/f.u.) = 0.00
# - calculated volume (Å³ per cell) = 52


[2]
# BeFe2HRh (PBE, relaxed)
data_BeFe2HRh
_space_group_name_H-M_alt 'P 4/m m m'
_space_group_IT_number 123
_space_group_name_Hall '-P 4 2'
_cell_length_a 3.505
_cell_length_b 3.505
_cell_length_c 3.967
_cell_angle_alpha 90.00
_cell_angle_beta 90.00
_cell_angle_gamma 90.00
loop_
_atom_site_label
_atom_site_type_symbol
_atom_site_fract_x
_atom_site_fract_y
_atom_site_fract_z
Be1 Be 0.000 0.000 0.000
Fe1 Fe 0.000 0.500 0.500
H1 H 0.000 0.000 0.500
Rh1 Rh 0.500 0.500 0.000
# - D(E_F) (states/eV/f.u.) = 3.27
# - relative energy among the computed polymorphs (eV/f.u.) = 0.11
# - calculated volume (Å³ per cell) = 49


[3]
# Be2FeHRh (PBE, relaxed)
data_Be2FeHRh
_space_group_name_H-M_alt 'P 4/m m m'
_space_group_IT_number 123
_space_group_name_Hall '-P 4 2'
_cell_length_a 3.763
_cell_length_b 3.763
_cell_length_c 3.078
_cell_angle_alpha 90.00
_cell_angle_beta 90.00
_cell_angle_gamma 90.00
loop_
_atom_site_label
_atom_site_type_symbol
_atom_site_fract_x
_atom_site_fract_y
_atom_site_fract_z
Be1 Be 0.000 0.500 0.000
Fe1 Fe 0.000 0.000 0.500
H1 H 0.000 0.000 0.000
Rh1 Rh 0.500 0.500 0.500
# - D(E_F) (states/eV/f.u.) = 3.12
# - electronic total energy (eV per atom) = -5.486
# - calculated volume (Å³ per cell) = 44


[4]
# BeFe2HRh (PBE, relaxed)
data_BeFe2HRh
_space_group_name_H-M_alt 'P 4/m m m'
_space_group_IT_number 123
_space_group_name_Hall '-P 4 2'
_cell_length_a 3.560
_cell_length_b 3.560
_cell_length_c 3.910
_cell_angle_alpha 90.00
_cell_angle_beta 90.00
_cell_angle_gamma 90.00
loop_
_atom_site_label
_atom_site_type_symbol
_atom_site_fract_x
_atom_site_fract_y
_atom_site_fract_z
Be1 Be 0.000 0.000 0.000
Fe1 Fe 0.000 0.500 0.500
H1 H 0.500 0.500 0.500
Rh1 Rh 0.500 0.500 0.000
# - D(E_F) (states/eV/f.u.) = 3.44
# - relative energy among the computed polymorphs (eV/f.u.) = 0.00
# - calculated volume (Å³ per cell) = 50


[5]
# BeFeHRh2 (PBE, relaxed)
data_BeFeHRh2
_space_group_name_H-M_alt 'P 4/m m m'
_space_group_IT_number 123
_space_group_name_Hall '-P 4 2'
_cell_length_a 3.911
_cell_length_b 3.911
_cell_length_c 3.464
_cell_angle_alpha 90.00
_cell_angle_beta 90.00
_cell_angle_gamma 90.00
loop_
_atom_site_label
_atom_site_type_symbol
_atom_site_fract_x
_atom_site_fract_y
_atom_site_fract_z
Be1 Be 0.000 0.000 0.000
Fe1 Fe 0.500 0.500 0.000
H1 H 0.500 0.500 0.500
Rh1 Rh 0.000 0.500 0.500
# - D(E_F) (states/eV/f.u.) = 4.25
# - relative energy among the computed polymorphs (eV/f.u.) = 0.14
# - calculated volume (Å³ per cell) = 53


[6]
# Be2FeHRu (PBE, relaxed)
data_Be2FeHRu
_space_group_name_H-M_alt 'P 4/m m m'
_space_group_IT_number 123
_space_group_name_Hall '-P 4 2'
_cell_length_a 3.746
_cell_length_b 3.746
_cell_length_c 3.117
_cell_angle_alpha 90.00
_cell_angle_beta 90.00
_cell_angle_gamma 90.00
loop_
_atom_site_label
_atom_site_type_symbol
_atom_site_fract_x
_atom_site_fract_y
_atom_site_fract_z
Be1 Be 0.000 0.500 0.000
Fe1 Fe 0.000 0.000 0.500
H1 H 0.000 0.000 0.000
Ru1 Ru 0.500 0.500 0.500
# - D(E_F) (states/eV/f.u.) = 3.54
# - electronic total energy (eV per atom) = -5.722
# - calculated volume (Å³ per cell) = 44


[7]
# TaBeFe2H (PBE, relaxed)
data_TaBeFe2H
_space_group_name_H-M_alt 'P 4/m m m'
_space_group_IT_number 123
_space_group_name_Hall '-P 4 2'
_cell_length_a 3.875
_cell_length_b 3.875
_cell_length_c 3.226
_cell_angle_alpha 90.00
_cell_angle_beta 90.00
_cell_angle_gamma 90.00
loop_
_atom_site_label
_atom_site_type_symbol
_atom_site_fract_x
_atom_site_fract_y
_atom_site_fract_z
Ta1 Ta 0.000 0.000 0.000
Be1 Be 0.500 0.500 0.000
Fe1 Fe 0.000 0.500 0.500
H1 H 0.500 0.500 0.500
# - D(E_F) (states/eV/f.u.) = 0.50
# - electronic total energy (eV per atom) = -7.239
# - calculated volume (Å³ per cell) = 48


[8]
# ThBeFe2H8 (PBE, relaxed)
data_ThBeFe2H8
_space_group_name_H-M_alt 'P -3 m 1'
_space_group_IT_number 164
_space_group_name_Hall '-P 3 2"'
_cell_length_a 4.4379
_cell_length_b 4.4379
_cell_length_c 5.8833
_cell_angle_alpha 90.00
_cell_angle_beta 90.00
_cell_angle_gamma 120.00
loop_
_atom_site_label
_atom_site_type_symbol
_atom_site_fract_x
_atom_site_fract_y
_atom_site_fract_z
Th1 Th 0.0000 0.0000 0.0000
Be1 Be 0.0000 0.0000 0.5000
Fe1 Fe 0.3333 0.6667 0.3753
H1 H 0.1406 0.2812 0.3238
H2 H 0.3333 0.6667 0.1003
# - D(E_F) (states/eV/f.u.) = 3.92
# - electronic total energy (eV per atom) = -4.503
# - calculated volume (Å³ per cell) = 100


[9]
# Ti2BeFeH (PBE, relaxed)
data_Ti2BeFeH
_space_group_name_H-M_alt 'P 4/m m m'
_space_group_IT_number 123
_space_group_name_Hall '-P 4 2'
_cell_length_a 4.063
_cell_length_b 4.063
_cell_length_c 3.292
_cell_angle_alpha 90.00
_cell_angle_beta 90.00
_cell_angle_gamma 90.00
loop_
_atom_site_label
_atom_site_type_symbol
_atom_site_fract_x
_atom_site_fract_y
_atom_site_fract_z
Ti1 Ti 0.000 0.500 0.000
Be1 Be 0.000 0.000 0.500
Fe1 Fe 0.500 0.500 0.500
H1 H 0.500 0.500 0.000
# - D(E_F) (states/eV/f.u.) = 2.74
# - electronic total energy (eV per atom) = -6.489
# - calculated volume (Å³ per cell) = 54


[10]
# UBeFe2H6 (PBE, relaxed)
data_UBeFe2H6
_space_group_name_H-M_alt 'R -3 m'
_space_group_IT_number 166
_space_group_name_Hall '-R 3 2"'
_cell_length_a 4.1585
_cell_length_b 4.1585
_cell_length_c 14.0151
_cell_angle_alpha 90.00
_cell_angle_beta 90.00
_cell_angle_gamma 120.00
loop_
_atom_site_label
_atom_site_type_symbol
_atom_site_fract_x
_atom_site_fract_y
_atom_site_fract_z
U1 U 0.0000 0.0000 0.0000
Be1 Be 0.0000 0.0000 0.5000
Fe1 Fe 0.0000 0.0000 0.2015
H1 H 0.0221 0.5111 0.0667
# - D(E_F) (states/eV/f.u.) = 5.02
# - electronic total energy (eV per atom) = -5.307
# - calculated volume (Å³ per cell) = 210


[11]
# BeZnFe2H (PBE, relaxed)
data_BeZnFe2H
_space_group_name_H-M_alt 'P 4/m m m'
_space_group_IT_number 123
_space_group_name_Hall '-P 4 2'
_cell_length_a 3.578
_cell_length_b 3.578
_cell_length_c 3.649
_cell_angle_alpha 90.00
_cell_angle_beta 90.00
_cell_angle_gamma 90.00
loop_
_atom_site_label
_atom_site_type_symbol
_atom_site_fract_x
_atom_site_fract_y
_atom_site_fract_z
Be1 Be 0.000 0.000 0.000
Zn1 Zn 0.500 0.500 0.000
Fe1 Fe 0.000 0.500 0.500
H1 H 0.000 0.000 0.500
# - D(E_F) (states/eV/f.u.) = 3.07
# - electronic total energy (eV per atom) = -5.018
# - calculated volume (Å³ per cell) = 47


[12]
# Hf2BeFe2 (PBE, relaxed)
data_Hf2BeFe2
_space_group_name_H-M_alt 'P 4/m b m'
_space_group_IT_number 127
_space_group_name_Hall '-P 4 2ab'
_cell_length_a 6.070
_cell_length_b 6.070
_cell_length_c 3.996
_cell_angle_alpha 90.00
_cell_angle_beta 90.00
_cell_angle_gamma 90.00
loop_
_atom_site_label
_atom_site_type_symbol
_atom_site_fract_x
_atom_site_fract_y
_atom_site_fract_z
Hf1 Hf 0.183 0.317 0.000
Be1 Be 0.000 0.000 0.500
Fe1 Fe 0.127 0.627 0.500
# - D(E_F) (states/eV/f.u.) = 6.44
# - ΔH_f (0 K) (eV per atom) = -0.10
# - calculated volume (Å³ per cell) = 147